DFT (PBE+U) results for a geometry-optimized Cs2CrB2O6 structure.

total DFT energy (no corrections)	-6.75	eV/atom

a = 5.209 Å, b = 5.208 Å, c = 8.483 Å
α = 107.85°, β = 90.00°, γ = 120.01°
Element x y z (fractional)
O 0.729 0.917 0.646
O 0.271 0.542 0.354
O 0.729 0.458 0.646
O 0.812 0.083 0.354
O 0.271 0.083 0.354
O 0.188 0.917 0.646
Cr 0.500 0.000 0.500
B 0.122 0.243 0.365
B 0.878 0.757 0.635
Cs 0.276 0.551 0.827
Cs 0.724 0.449 0.173